# NiBr3 | the Alexandria database | PBE | optimized geometry
data_NiBr3
_chemical_formula_sum 'Ni3 Br9'
_cell_length_a 3.5179
_cell_length_b 3.5179
_cell_length_c 30.1781
_cell_angle_alpha 90.00
_cell_angle_beta 90.00
_cell_angle_gamma 120.00
_symmetry_space_group_name_H-M 'R -3 m'
_symmetry_Int_Tables_number 166
_symmetry_space_group_name_Hall '-R 3 2"'
loop_
_atom_site_label
_atom_site_fract_x
_atom_site_fract_y
_atom_site_fract_z
Ni1 0.0000 0.0000 0.0000
Br1 0.0000 0.0000 0.3810
Br2 0.0000 0.0000 0.5000
# - magnetic moment (μB per atom) = 0.00
# - ΔE_f (raw) (eV/atom) = 0.028